Below is CoSnSO after structural relaxation, with properties calculated at the PBE with a Hubbard U level.

a = 5.516 Å, b = 7.252 Å, c = 8.149 Å
α = 90.00°, β = 90.00°, γ = 90.00°
Site moments in Bohr magnetons follow the coordinates.
Atoms (fractional coordinates):
Co 0.153 0.243 0.099  2.63
Co 0.847 0.743 0.401  2.63
Co 0.347 0.757 0.599  2.63
Co 0.653 0.257 0.901  2.63
O 0.504 0.252 0.115  0.11
O 0.496 0.752 0.385  0.11
O 0.996 0.748 0.615  0.11
O 0.004 0.248 0.885  0.11
S 0.975 0.504 0.229  0.08
S 0.025 0.004 0.271  0.09
S 0.525 0.496 0.729  0.08
S 0.475 0.996 0.771  0.08
Sn 0.334 0.747 0.156  0.02
Sn 0.666 0.247 0.344  0.02
Sn 0.166 0.253 0.656  0.02
Sn 0.834 0.753 0.844  0.02

Results
VASP energy, eV/atom: -5.1678
Crystal system: orthorhombic